SrWO2 after structural relaxation, computed with GGA+U.

Results
total moment	0.00	μB per formula unit
VASP energy	-6.419	eV per atom
relative energy among the computed polymorphs	114	meV/atom

The structure in POSCAR format:
```
SrWO2
1.0
5.8046 -1.6799 0.0000
5.8046 1.6799 0.0000
-1.1370 0.0000 6.5575
Sr W O
2 2 4
Direct
0.0000 0.0000 0.0000
0.2082 0.2082 0.7004
0.4338 0.4338 0.4432
0.7597 0.7597 0.2434
0.3550 0.3550 0.1193
0.4213 0.4213 0.7304
0.6062 0.6062 0.3699
0.6561 0.6561 0.9423
```